(1)
# RbSn2IrW | Alexandria | GGA-PBE | relaxed
# **Formation enthalpy at 0 K**: 0.911 eV per atom
data_RbSn2IrW
_chemical_formula_sum 'Rb1 Sn2 Ir1 W1'
_cell_length_a 5.275
_cell_length_b 5.275
_cell_length_c 5.131
_cell_angle_alpha 90.00
_cell_angle_beta 90.00
_cell_angle_gamma 90.00
_symmetry_space_group_name_H-M 'P 4/m m m'
_symmetry_Int_Tables_number 123
_symmetry_space_group_name_Hall '-P 4 2'
loop_
_atom_site_label
_atom_site_fract_x
_atom_site_fract_y
_atom_site_fract_z
_atom_site_occupancy
Rb1 0.000 0.000 0.000 1
Sn1 0.000 0.500 0.500 1
Ir1 0.500 0.500 0.500 1
W1 0.500 0.500 0.000 1

***

(2)
CaTa2RhCl: relaxed, GGA-PBE.

```
data_CaTa2RhCl
_chemical_formula_sum 'Ca1 Ta2 Rh1 Cl1'
_cell_length_a 4.588
_cell_length_b 4.588
_cell_length_c 4.693
_cell_angle_alpha 90.00
_cell_angle_beta 90.00
_cell_angle_gamma 90.00
_symmetry_space_group_name_H-M 'P 4/m m m'
_symmetry_Int_Tables_number 123
_symmetry_space_group_name_Hall '-P 4 2'
loop_
_atom_site_label
_atom_site_fract_x
_atom_site_fract_y
_atom_site_fract_z
_atom_site_occupancy
Ca1 0.000 0.000 0.000 1
Ta1 0.000 0.500 0.500 1
Rh1 0.500 0.500 0.000 1
Cl1 0.500 0.500 0.500 1
```

***

(3)
DyErSc2Se6: relaxed, GGA-PBE.

```
data_DyErSc2Se6
_chemical_formula_sum 'Dy3 Er3 Sc6 Se18'
_cell_length_a 6.9821
_cell_length_b 6.9821
_cell_length_c 18.8610
_cell_angle_alpha 90.00
_cell_angle_beta 90.00
_cell_angle_gamma 120.00
_symmetry_space_group_name_H-M 'R 3'
_symmetry_Int_Tables_number 146
_symmetry_space_group_name_Hall 'R 3'
loop_
_atom_site_label
_atom_site_fract_x
_atom_site_fract_y
_atom_site_fract_z
_atom_site_occupancy
Dy1 0.0000 0.0000 0.0000 1
Er1 0.0000 0.0000 0.5012 1
Sc1 0.0000 0.0000 0.1935 1
Sc2 0.0000 0.0000 0.6941 1
Se1 0.0361 0.3466 0.7691 1
Se2 0.0401 0.6931 0.2688 1
```

***

(4)
CsKVI6: relaxed, GGA-PBE.

```
data_CsKVI6
_chemical_formula_sum 'Cs2 K2 V2 I12'
_cell_length_a 8.593
_cell_length_b 14.898
_cell_length_c 7.271
_cell_angle_alpha 90.00
_cell_angle_beta 90.01
_cell_angle_gamma 90.00
_symmetry_space_group_name_H-M 'C 1 2 1'
_symmetry_Int_Tables_number 5
loop_
_symmetry_equiv_pos_as_xyz
'x,y,z'
'-x,y,-z'
'x+1/2,y+1/2,z'
'-x+1/2,y+1/2,-z'
loop_
_atom_site_label
_atom_site_fract_x
_atom_site_fract_y
_atom_site_fract_z
_atom_site_occupancy
Cs1 0.000 0.000 0.000 1
K1 0.000 0.334 0.500 1
V1 0.000 0.667 0.500 1
I1 0.120 0.534 0.280 1
I2 0.139 0.793 0.279 1
I3 0.241 0.173 0.280 1
```

***

It is found that the total moment values, taken in the order of the records, are 2.83 0.00 0.00 0.90 μB per formula unit.
It is found that the E values, taken in the order of the records, are -5.246 -6.359 -6.023 -3.078 eV per atom.